Entry from Alexandria via LeMat-Bulk: an optimized crystal structure of Pm4Cd2InRh (PBE).

Properties
VASP energy: -103.617 eV for the cell shown
M_tot: 0.00 μB/cell
E_form: -0.452 eV/atom

Cell: 5.3389 5.3389 25.6472 Å, 90.00 90.00 120.00°
With the nearest neighbours (Å) after each atom.
Space group R-3m (No. 166, hexagonal axes)
Symmetry-distinct sites (fractional):
Pm: 0.0000 0.0000 0.1138 [6 per cell]  1 Rh 2.92, 4 Cd 3.13-3.26
Pm: 0.0000 0.0000 0.3683 [6 per cell]  3 Rh 3.21, 4 Cd 3.27-3.42, 1 In 3.38, 3 Pm 3.57
Cd: 0.0000 0.0000 0.2408 [6 per cell]  8 Pm 3.13-3.42
In: 0.0000 0.0000 0.5000 [3 per cell]  8 Pm 3.37-3.38, 6 Cd 3.62
Rh: 0.0000 0.0000 0.0000 [3 per cell]  8 Pm 2.92-3.21